Record 1
Sm2GdI after structural relaxation, computed with PBE-GGA.

Spin magnetization = 7.441 μB/cell
Energy = -26.562 eV/f.u.
Distance to the lowest polymorph of the same formula = 0 meV/atom

a = 3.7860 Å, b = 3.7860 Å, c = 10.9050 Å
α = 80.00°, β = 80.00°, γ = 60.00°
Site moments in Bohr magnetons follow the coordinates.
Sites, in units of the cell vectors:
I  0.0000  0.0000  0.0000  0.00
Sm  0.2549  0.2549  0.2353  0.01
Sm  0.7451  0.7451  0.7647  0.01
Gd  0.5000  0.5000  0.5000  -7.18

---

Record 2
K2LaMn after structural relaxation, computed with PBE-GGA.

Spin magnetization = 3.044 μB/cell
Energy = -13.366 eV/f.u.
Distance to the lowest polymorph of the same formula = 293 meV/atom

a = 7.5907 Å, b = 7.5907 Å, c = 7.5907 Å
α = 143.64°, β = 143.64°, γ = 52.36°
Site moments in Bohr magnetons follow the coordinates.
Sites, in units of the cell vectors:
K  0.5000  0.5000  0.0000  -0.03
K  0.0000  0.0000  0.0000  -0.03
Mn  0.7500  0.2500  0.5000  3.94
La  0.2500  0.7500  0.5000  -0.38

---

Record 3
RbSCl2F after structural relaxation, computed with PBE-GGA.

Spin magnetization = 1.832 μB/cell
Energy = -13.342 eV/f.u.
Distance to the lowest polymorph of the same formula = 0 meV/atom

a = 5.9396 Å, b = 5.9396 Å, c = 3.7263 Å
α = 90.00°, β = 90.00°, γ = 90.00°
Site moments in Bohr magnetons follow the coordinates.
Sites, in units of the cell vectors:
S  0.0000  0.0000  0.5000  0.70
F  0.0000  0.0000  0.0000  0.09
Rb  0.5000  0.5000  0.5000  0.00
Cl  0.0000  0.5000  0.0000  0.26
Cl  0.5000  0.0000  0.0000  0.26

---

Record 4
AcSbS2O after structural relaxation, computed with PBE-GGA.

Spin magnetization = 0.000 μB/cell
Energy = -29.779 eV/f.u.

a = 4.0848 Å, b = 4.0848 Å, c = 14.1475 Å
α = 90.00°, β = 90.00°, γ = 90.00°
Sites, in units of the cell vectors:
S  0.5000  0.0000  0.8874
S  0.0000  0.5000  0.7014
S  0.5000  0.0000  0.2986
S  0.0000  0.5000  0.1126
Sb  0.5000  0.0000  0.1282
Sb  0.0000  0.5000  0.8718
O  0.0000  0.0000  0.5000
O  0.5000  0.5000  0.5000
Ac  0.5000  0.0000  0.5958
Ac  0.0000  0.5000  0.4042

---

Record 5
CsCo3Tc after structural relaxation, computed with PBE-GGA.

Spin magnetization = 5.560 μB/cell
Energy = -18.612 eV/f.u.

a = 4.6235 Å, b = 4.6235 Å, c = 4.6235 Å
α = 90.00°, β = 90.00°, γ = 90.00°
Site moments in Bohr magnetons follow the coordinates.
Sites, in units of the cell vectors:
Co  0.0000  0.5000  0.0000  0.93
Co  0.0000  0.0000  0.5000  0.73
Co  0.5000  0.0000  0.0000  0.96
Tc  0.5000  0.5000  0.5000  2.90
Cs  0.0000  0.0000  0.0000  -0.07

---

Record 6
BeMoOs2 after structural relaxation, computed with PBE-GGA.

Spin magnetization = 0.000 μB/cell
Energy = -37.296 eV/f.u.

a = 2.8607 Å, b = 2.8607 Å, c = 6.3915 Å
α = 90.00°, β = 90.00°, γ = 90.00°
Sites, in units of the cell vectors:
Os  0.0000  0.0000  0.0355
Os  0.0000  0.0000  0.4645
Be  0.5000  0.5000  0.2500
Mo  0.5000  0.5000  0.7500

---

Which of these has the highest spin magnetization? Sm2GdI